VASP calculation (PBE) on an optimized crystal structure of AcPt4Au2.

abc: 8.1558 8.1558 5.5009
angles: 90.00 90.00 90.00
Atoms (fractional coordinates):
Ac 0.0000 0.0000 0.0000
Ac 0.5000 0.5000 0.5000
Pt 0.0000 0.2199 0.5000
Pt 0.0000 0.7801 0.5000
Pt 0.2199 0.0000 0.5000
Pt 0.2801 0.5000 0.0000
Pt 0.5000 0.2801 0.0000
Pt 0.5000 0.7199 0.0000
Pt 0.7199 0.5000 0.0000
Pt 0.7801 0.0000 0.5000
Au 0.0000 0.5000 0.2500
Au 0.0000 0.5000 0.7500
Au 0.5000 0.0000 0.2500
Au 0.5000 0.0000 0.7500

Properties
**Size of the total moment**: 0.01 μB per formula unit
**Energy of formation**: 0.0058 eV per atom
**Theoretical density**: 12.72 g cm⁻³
**Space-group type**: I4/mmm (139)
**Polymorph energy (0 for the lowest one)**: 0.4459 eV/atom

VASP calculation (PBE) on an optimized crystal structure of Tb2Pm6ErTm.

abc: 8.9095 8.9095 9.6165
angles: 93.89 93.89 117.93
Atoms (fractional coordinates):
Tb 0.2001 0.2998 0.0447
Tb 0.2998 0.2001 0.5447
Tb 0.7002 0.7999 0.4553
Tb 0.7999 0.7002 0.9553
Pm 0.0119 0.5671 0.1881
Pm 0.1206 0.7610 0.5543
Pm 0.2390 0.8794 0.9457
Pm 0.2905 0.5066 0.3816
Pm 0.4329 0.9881 0.3119
Pm 0.4934 0.7095 0.1184
Pm 0.5066 0.2905 0.8816
Pm 0.5671 0.0119 0.6881
Pm 0.7095 0.4934 0.6184
Pm 0.7610 0.1206 0.0543
Pm 0.8794 0.2390 0.4457
Pm 0.9881 0.4329 0.8119
Er 0.0256 0.9744 0.2500
Er 0.9744 0.0256 0.7500
Tm 0.4106 0.5894 0.7500
Tm 0.5894 0.4106 0.2500

Properties
**Size of the total moment**: 0.00 μB per formula unit
**Energy of formation**: 0.1166 eV per atom
**Theoretical density**: 7.57 g cm⁻³
**Space-group type**: C2/c (15)

VASP calculation (PBE) on an optimized crystal structure of Mn2NbCl.

abc: 6.0575 6.0575 6.0575
angles: 90.00 90.00 90.00
Atoms (fractional coordinates):
Mn 0.2500 0.2500 0.2500
Mn 0.2500 0.2500 0.7500
Mn 0.2500 0.7500 0.2500
Mn 0.2500 0.7500 0.7500
Mn 0.7500 0.2500 0.2500
Mn 0.7500 0.2500 0.7500
Mn 0.7500 0.7500 0.2500
Mn 0.7500 0.7500 0.7500
Nb 0.0000 0.0000 0.0000
Nb 0.0000 0.5000 0.5000
Nb 0.5000 0.0000 0.5000
Nb 0.5000 0.5000 0.0000
Cl 0.0000 0.0000 0.5000
Cl 0.0000 0.5000 0.0000
Cl 0.5000 0.0000 0.0000
Cl 0.5000 0.5000 0.5000

Properties
**Size of the total moment**: 0.00 μB per formula unit
**Energy relative to the elements, uncorrected**: 0.96 eV per atom
**Theoretical density**: 7.12 g cm⁻³
**Space-group type**: Fm-3m (225)
**Polymorph energy (0 for the lowest one)**: 0.2532 eV/atom

VASP calculation (PBE) on an optimized crystal structure of ZrTi2GaH.

abc: 4.1317 4.1317 4.2517
angles: 90.00 90.00 90.00
Atoms (fractional coordinates):
Zr 0.0000 0.0000 0.0000
Ti 0.0000 0.5000 0.5000
Ti 0.5000 0.0000 0.5000
Ga 0.5000 0.5000 0.0000
H 0.0000 0.0000 0.5000

Properties
**Size of the total moment**: 0.00 μB per formula unit
**Theoretical density**: 5.90 g cm⁻³
**Space-group type**: P4/mmm (123)
**Polymorph energy (0 for the lowest one)**: 0.0000 eV/atom

VASP calculation (PBE) on an optimized crystal structure of Al2CrPb.

abc: 3.0733 3.0733 28.5178
angles: 90.00 90.00 120.00
Atoms (fractional coordinates):
Al 0.0000 0.0000 0.2337
Al 0.0000 0.0000 0.7663
Al 0.3333 0.6667 0.4330
Al 0.3333 0.6667 0.9003
Al 0.6667 0.3333 0.0997
Al 0.6667 0.3333 0.5670
Cr 0.0000 0.0000 0.5000
Cr 0.3333 0.6667 0.1667
Cr 0.6667 0.3333 0.8333
Pb 0.0000 0.0000 0.0000
Pb 0.3333 0.6667 0.6667
Pb 0.6667 0.3333 0.3333

Properties
**Size of the total moment**: 2.19 μB per formula unit
**Energy of formation**: 0.3399 eV per atom
**Theoretical density**: 6.69 g cm⁻³
**Space-group type**: R-3m (166)

VASP calculation (PBE) on an optimized crystal structure of Cr5Fe3.

abc: 6.8674 6.8674 4.4811
angles: 90.00 90.00 120.00
Atoms (fractional coordinates):
Cr 0.0000 0.2315 0.2500
Cr 0.0000 0.7685 0.7500
Cr 0.2315 0.0000 0.2500
Cr 0.2315 0.2315 0.7500
Cr 0.3333 0.6667 0.0000
Cr 0.3333 0.6667 0.5000
Cr 0.6667 0.3333 0.0000
Cr 0.6667 0.3333 0.5000
Cr 0.7685 0.0000 0.7500
Cr 0.7685 0.7685 0.2500
Fe 0.0000 0.4146 0.7500
Fe 0.0000 0.5854 0.2500
Fe 0.4146 0.0000 0.7500
Fe 0.4146 0.4146 0.2500
Fe 0.5854 0.0000 0.2500
Fe 0.5854 0.5854 0.7500

Properties
**Size of the total moment**: 1.22 μB per formula unit
**Energy of formation**: 0.2365 eV per atom
**Theoretical density**: 7.76 g cm⁻³
**Space-group type**: P6_3/mcm (193)
**Polymorph energy (0 for the lowest one)**: 0.1787 eV/atom

VASP calculation (PBE) on an optimized crystal structure of GdEr2H.

abc: 3.4624 3.4624 27.9353
angles: 90.00 90.00 120.00
Atoms (fractional coordinates):
Gd 0.0000 0.0000 0.0000
Gd 0.3333 0.6667 0.6667
Gd 0.6667 0.3333 0.3333
Er 0.0000 0.0000 0.1194
Er 0.0000 0.0000 0.8806
Er 0.3333 0.6667 0.5473
Er 0.3333 0.6667 0.7860
Er 0.6667 0.3333 0.2140
Er 0.6667 0.3333 0.4527
H 0.0000 0.0000 0.5000
H 0.3333 0.6667 0.1667
H 0.6667 0.3333 0.8333

Properties
**Size of the total moment**: 7.83 μB per formula unit
**Theoretical density**: 8.46 g cm⁻³
**Space-group type**: R-3m (166)
**Polymorph energy (0 for the lowest one)**: 0.0000 eV/atom

VASP calculation (PBE) on an optimized crystal structure of K2RbPdPb.

abc: 6.3092 6.3092 5.3792
angles: 90.00 90.00 90.00
Atoms (fractional coordinates):
K 0.0000 0.5000 0.0000
K 0.5000 0.0000 0.0000
Rb 0.0000 0.0000 0.5000
Pd 0.5000 0.5000 0.0000
Pb 0.5000 0.5000 0.5000

Properties
**Size of the total moment**: 0.00 μB per formula unit
**Energy of formation**: -0.0761 eV per atom
**Theoretical density**: 3.70 g cm⁻³
**Space-group type**: P4/mmm (123)

VASP calculation (PBE) on an optimized crystal structure of Dy3Sn.

abc: 3.5177 5.4188 5.9967
angles: 90.00 90.00 90.00
Atoms (fractional coordinates):
Dy 0.0000 0.0000 0.0000
Dy 0.0000 0.5000 0.3593
Dy 0.5000 0.0000 0.5234
Sn 0.5000 0.5000 0.8442

Properties
**Size of the total moment**: 0.00 μB per formula unit
**Energy of formation**: -0.3034 eV per atom
**Theoretical density**: 8.81 g cm⁻³
**Space-group type**: Pmm2 (25)

VASP calculation (PBE) on an optimized crystal structure of PmGdY2.

abc: 5.0935 5.0935 5.0617
angles: 90.00 90.00 90.00
Atoms (fractional coordinates):
Pm 0.0000 0.0000 0.0000
Gd 0.5000 0.5000 0.0000
Y 0.0000 0.5000 0.5000
Y 0.5000 0.0000 0.5000

Properties
**Size of the total moment**: 7.17 μB per formula unit
**Energy of formation**: 0.0183 eV per atom
**Theoretical density**: 6.07 g cm⁻³
**Space-group type**: P4/mmm (123)
**Polymorph energy (0 for the lowest one)**: 0.0000 eV/atom

VASP calculation (PBE) on an optimized crystal structure of Li4BiPb.

abc: 8.7716 8.7716 4.6716
angles: 90.00 90.00 135.84
Atoms (fractional coordinates):
Li 0.0401 0.4566 0.2500
Li 0.2072 0.2905 0.2500
Li 0.2905 0.2072 0.7500
Li 0.4566 0.0401 0.7500
Li 0.5434 0.9599 0.2500
Li 0.7095 0.7928 0.2500
Li 0.7928 0.7095 0.7500
Li 0.9599 0.5434 0.7500
Bi 0.1260 0.8740 0.2500
Bi 0.8740 0.1260 0.7500
Pb 0.3765 0.6235 0.7500
Pb 0.6235 0.3765 0.2500

Properties
**Size of the total moment**: 0.00 μB per formula unit
**Energy of formation**: -0.3285 eV per atom
**Theoretical density**: 5.89 g cm⁻³
**Space-group type**: Cmcm (63)
**Polymorph energy (0 for the lowest one)**: 0.0000 eV/atom

VASP calculation (PBE) on an optimized crystal structure of NiBRhS2.

abc: 4.1846 4.1846 4.9150
angles: 90.00 90.00 90.00
Atoms (fractional coordinates):
Ni 0.0000 0.0000 0.0000
B 0.5000 0.5000 0.5000
Rh 0.0000 0.0000 0.5000
S 0.0000 0.5000 0.0000
S 0.5000 0.0000 0.0000

Properties
**Size of the total moment**: 1.63 μB per formula unit
**Energy relative to the elements, uncorrected**: 1.40 eV per atom
**Theoretical density**: 4.56 g cm⁻³
**Space-group type**: P4/mmm (123)

no.,DFT total energy (eV/f.u.)
1,-34.8
2,-45.6
3,-26.4
4,-32.7
5,-19.5
6,-71.6
7,-26.6
8,-12.4
9,-19.0
10,-31.7
11,-17.2
12,-21.1